[1]
Material: Ca2YTlFe
Method: DFT, GGA-PBE
State: relaxed

Cell: 5.7505 5.7505 4.9630 Å, 90.00 90.00 90.00°
Last column: nearest neighbours and their distance in Å.
Space group P4/mmm (No. 123)
Symmetry-distinct sites (fractional):
Ca (0.0000, 0.5000, 0.0000) [2 per cell]  2 Tl 2.88
Y (0.0000, 0.0000, 0.5000) [1 per cell]  8 Ca 3.80, 4 Fe 4.07
Tl (0.5000, 0.5000, 0.0000) [1 per cell]  2 Fe 2.48
Fe (0.5000, 0.5000, 0.5000) [1 per cell]  2 Tl 2.48

Properties
DFT formation energy = 4.0 eV/f.u.
VASP energy = -17.32 eV per cell

[2]
Material: CaTmFe4
Method: DFT, GGA-PBE
State: relaxed

Cell: 7.2190 7.2190 7.2190 Å, 90.00 90.00 90.00°
Last column: nearest neighbours and their distance in Å.
Space group F-43m (No. 216)
Symmetry-distinct sites (fractional):
Ca (0.0000, 0.0000, 0.0000) [4 per cell]  12 Fe 2.99, 4 Tm 3.13
Tm (0.2500, 0.2500, 0.2500) [4 per cell]  12 Fe 2.99, 4 Ca 3.13
Fe (0.1246, 0.1246, 0.6246) [16 per cell]  6 Fe 2.54-2.56

Properties
DFT formation energy = 0.6 eV/f.u.
VASP energy = -158.98 eV per cell

[3]
Material: CaVFe2
Method: DFT, GGA-PBE
State: relaxed

Cell: 4.6367 4.6367 15.5794 Å, 90.00 90.00 90.00°
Last column: nearest neighbours and their distance in Å.
Space group I4_1/amd (No. 141, origin choice 2)
Symmetry-distinct sites (fractional):
Ca (0.0000, 0.2500, 0.3750) [4 per cell]  8 Fe 3.24, 4 V 3.28
V (0.0000, 0.2500, 0.8750) [4 per cell]  4 Fe 2.27
Fe (0.0000, 0.0000, 0.0000) [8 per cell]  2 V 2.27, 2 Fe 2.32

Properties
DFT formation energy = 2.9 eV/f.u.
VASP energy = -100.50 eV per cell

[4]
Material: CaVFe3
Method: DFT, GGA-PBE
State: relaxed

Cell: 4.4202 4.4202 4.4202 Å, 90.00 90.00 90.00°
Last column: nearest neighbours and their distance in Å.
Space group Pm-3m (No. 221)
Symmetry-distinct sites (fractional):
Ca (0.0000, 0.0000, 0.0000) [1 per cell]  12 Fe 3.13
V (0.5000, 0.5000, 0.5000) [1 per cell]  6 Fe 2.21
Fe (0.0000, 0.5000, 0.5000) [3 per cell]  2 V 2.21

Properties
DFT formation energy = 3.5 eV/f.u.
VASP energy = -33.02 eV per cell

[5]
Material: CaV3Fe
Method: DFT, GGA-PBE
State: relaxed

Cell: 4.4874 4.4874 4.4874 Å, 90.00 90.00 90.00°
Last column: nearest neighbours and their distance in Å.
Space group Pm-3m (No. 221)
Symmetry-distinct sites (fractional):
Ca (0.0000, 0.0000, 0.0000) [1 per cell]  12 V 3.17
V (0.0000, 0.5000, 0.5000) [3 per cell]  2 Fe 2.24
Fe (0.5000, 0.5000, 0.5000) [1 per cell]  6 V 2.24

Properties
DFT formation energy = 3.3 eV/f.u.
VASP energy = -34.51 eV per cell

[6]
Material: CaVFe2
Method: DFT, GGA-PBE
State: relaxed

Cell: 6.3003 6.3003 6.3003 Å, 90.00 90.00 90.00°
Last column: nearest neighbours and their distance in Å.
Space group Fm-3m (No. 225)
Symmetry-distinct sites (fractional):
Ca (0.0000, 0.0000, 0.0000) [4 per cell]  8 Fe 2.73
V (0.0000, 0.0000, 0.5000) [4 per cell]  8 Fe 2.73
Fe (0.2500, 0.2500, 0.2500) [8 per cell]  4 Ca 2.73, 4 V 2.73

Properties
DFT formation energy = 2.1 eV/f.u.
VASP energy = -103.69 eV per cell

[7]
Material: Ca2V2Fe
Method: DFT, GGA-PBE
State: relaxed

Cell: 6.1117 6.1117 5.2627 Å, 90.00 90.00 90.00°
Last column: nearest neighbours and their distance in Å.
Space group P4/mbm (No. 127)
Symmetry-distinct sites (fractional):
Ca (0.1864, 0.3136, 0.0000) [4 per cell]  6 V 3.01-3.33, 5 Ca 3.15-3.22
V (0.1440, 0.6440, 0.5000) [4 per cell]  2 Fe 2.35, 1 V 2.49
Fe (0.0000, 0.0000, 0.5000) [2 per cell]  4 V 2.35

Properties
DFT formation energy = 2.8 eV/f.u.
VASP energy = -55.85 eV per cell

[8]
Material: Ca2VFe
Method: DFT, GGA-PBE
State: relaxed

Cell: 10.8689 10.8689 4.2264 Å, 90.00 90.00 90.00°
Last column: nearest neighbours and their distance in Å.
Space group I-42d (No. 122)
Symmetry-distinct sites (fractional):
Ca (0.0766, 0.2500, 0.1250) [8 per cell]  2 Fe 2.89
V (0.0000, 0.0000, 0.5000) [4 per cell]  2 Fe 2.11
Fe (0.0000, 0.0000, 0.0000) [4 per cell]  2 V 2.11

Properties
DFT formation energy = 2.7 eV/f.u.
VASP energy = -75.37 eV per cell

[9]
Material: Ca2VFe
Method: DFT, GGA-PBE
State: relaxed

Cell: 7.2967 7.2967 7.2967 Å, 90.00 90.00 90.00°
Last column: nearest neighbours and their distance in Å.
Space group Fm-3m (No. 225)
Symmetry-distinct sites (fractional):
Ca (0.2500, 0.2500, 0.2500) [8 per cell]  4 Fe 3.16, 4 V 3.16
V (0.0000, 0.0000, 0.0000) [4 per cell]  8 Ca 3.16
Fe (0.0000, 0.0000, 0.5000) [4 per cell]  8 Ca 3.16

Properties
DFT formation energy = 3.3 eV/f.u.
VASP energy = -73.26 eV per cell

[10]
Material: Ca2V2Fe
Method: DFT, GGA-PBE
State: relaxed

Cell: 4.0502 4.0502 13.1615 Å, 90.00 90.00 90.00°
Last column: nearest neighbours and their distance in Å.
Space group I4/mmm (No. 139)
Symmetry-distinct sites (fractional):
Ca (0.0000, 0.5000, 0.2500) [4 per cell]  4 Ca 2.86, 4 V 3.12
V (0.0000, 0.0000, 0.0700) [4 per cell]  1 V 1.84
Fe (0.0000, 0.0000, 0.5000) [2 per cell]  8 V 3.01

Properties
DFT formation energy = 5.7 eV/f.u.
VASP energy = -50.00 eV per cell

[11]
Material: CaV3Fe
Method: DFT, GGA-PBE
State: relaxed

Cell: 4.3175 4.3175 4.3175 Å, 90.00 90.00 90.00°
Last column: nearest neighbours and their distance in Å.
Space group Pm-3m (No. 221)
Symmetry-distinct sites (fractional):
Ca (0.0000, 0.0000, 0.0000) [1 per cell]  6 V 2.16
V (0.0000, 0.0000, 0.5000) [3 per cell]  2 Ca 2.16
Fe (0.5000, 0.5000, 0.5000) [1 per cell]  12 V 3.05

Properties
DFT formation energy = 11.7 eV/f.u.
VASP energy = -26.14 eV per cell

[12]
Material: Ca3FeW
Method: DFT, GGA-PBE
State: relaxed

Cell: 5.5040 5.5040 5.5040 Å, 90.00 90.00 90.00°
Last column: nearest neighbours and their distance in Å.
Space group Pm-3m (No. 221)
Symmetry-distinct sites (fractional):
Ca (0.0000, 0.0000, 0.5000) [3 per cell]  2 W 2.75
Fe (0.5000, 0.5000, 0.5000) [1 per cell]  12 Ca 3.89
W (0.0000, 0.0000, 0.0000) [1 per cell]  6 Ca 2.75

Properties
DFT formation energy = 7.7 eV/f.u.
VASP energy = -19.74 eV per cell

Please write out number 12 again, unchanged.
Material: Ca3FeW
Method: DFT, GGA-PBE
State: relaxed

Cell: 5.5040 5.5040 5.5040 Å, 90.00 90.00 90.00°
Last column: nearest neighbours and their distance in Å.
Space group Pm-3m (No. 221)
Symmetry-distinct sites (fractional):
Ca (0.0000, 0.0000, 0.5000) [3 per cell]  2 W 2.75
Fe (0.5000, 0.5000, 0.5000) [1 per cell]  12 Ca 3.89
W (0.0000, 0.0000, 0.0000) [1 per cell]  6 Ca 2.75

Properties
DFT formation energy = 7.7 eV/f.u.
VASP energy = -19.74 eV per cell

- Which formula does entry 12 have?
  Ca3FeW

- What is the VASP energy in the second record?
  -158.98 eV per cell